Computed, not measured: a relaxed RbNiC2BrN2 crystal at the PBE level of DFT.

Lattice parameters (Å, degrees): 7.7161 7.7161 7.7161 125.28 125.28 81.08
Fractional positions:
1 Rb 0.2500 0.7500 0.5000
2 Rb 0.7500 0.2500 0.5000
3 Ni 0.0000 0.0000 0.0000
4 Ni 0.5000 0.5000 0.0000
5 C 0.1834 0.1834 0.3668
6 C 0.1834 0.8166 0.0000
7 C 0.8166 0.1834 0.0000
8 C 0.8166 0.8166 0.6332
9 Br 0.2721 0.2721 0.0000
10 Br 0.7279 0.7279 0.0000
11 N 0.3004 0.3004 0.6008
12 N 0.3004 0.6996 0.0000
13 N 0.6996 0.3004 0.0000
14 N 0.6996 0.6996 0.3992

Values from the calculation:
Energy relative to the elements, uncorrected in kJ/mol of formula units: -161
E in eV for the cell shown: -90.4
Symmetry: I4/mmm



Computed, not measured: a relaxed GePbAu2S crystal at the PBE level of DFT.

Lattice parameters (Å, degrees): 5.3073 5.3073 5.3077 90.00 90.00 90.00
Fractional positions:
1 Ge 0.0000 0.0000 0.0000
2 Pb 0.5000 0.5000 0.5000
3 Au 0.0000 0.5000 0.5000
4 Au 0.5000 0.0000 0.5000
5 S 0.5000 0.5000 0.0000

Values from the calculation:
Energy relative to the elements, uncorrected in kJ/mol of formula units: 402
Fermi-level density of states in states/eV/f.u.: 3.02
E in eV for the cell shown: -14.8
Symmetry: P4/mmm



Computed, not measured: a relaxed NdGa4Cu2Os crystal at the PBE level of DFT.

Lattice parameters (Å, degrees): 9.3878 9.3878 9.3878 25.89 25.89 25.89
Fractional positions:
1 Nd 0.0000 0.0000 0.0000
2 Ga 0.1319 0.1319 0.1319
3 Ga 0.4027 0.4027 0.4027
4 Ga 0.5973 0.5973 0.5973
5 Ga 0.8681 0.8681 0.8681
6 Cu 0.2333 0.2333 0.2333
7 Cu 0.7667 0.7667 0.7667
8 Os 0.5000 0.5000 0.5000

Values from the calculation:
Fermi-level density of states in states/eV/f.u.: 3.27
Calculated formation energy in eV per atom: -0.21
E in eV for the cell shown: -37.9
Symmetry: R-3m



Computed, not measured: a relaxed Mn2P crystal at the PBE level of DFT.

Lattice parameters (Å, degrees): 2.5966 2.5966 5.2672 90.00 90.00 90.00
Fractional positions:
1 Mn 0.0000 0.5000 0.1423
2 Mn 0.5000 0.0000 0.8577
3 P 0.0000 0.0000 0.5000

Values from the calculation:
Fermi-level density of states in states/eV/f.u.: 3.60
Calculated formation energy in eV per atom: -0.11
E in eV for the cell shown: -24.1
Symmetry: P-4m2



Computed, not measured: a relaxed Rb2CeY2S6 crystal at the PBE level of DFT.

Lattice parameters (Å, degrees): 7.0202 7.0202 8.1957 98.28 98.28 119.98
Fractional positions:
1 Rb 0.1680 0.8320 0.0000
2 Rb 0.8320 0.1680 0.0000
3 Ce 0.0000 0.0000 0.5000
4 Y 0.3338 0.6662 0.5000
5 Y 0.6662 0.3338 0.5000
6 S 0.0606 0.3937 0.6863
7 S 0.2669 0.2669 0.3138
8 S 0.3937 0.0606 0.6863
9 S 0.6063 0.9394 0.3137
10 S 0.7331 0.7331 0.6862
11 S 0.9394 0.6063 0.3137

Values from the calculation:
Energy relative to the elements, uncorrected in kJ/mol of formula units: -1967
E in eV for the cell shown: -66.0
Symmetry: C2/m



Computed, not measured: a relaxed CeDy4Ho crystal at the PBE level of DFT.

Lattice parameters (Å, degrees): 8.3171 8.3171 8.3171 133.14 92.71 105.60
Fractional positions:
1 Ce 0.0000 0.0000 0.0000
2 Ce 0.5000 0.0000 0.5000
3 Dy 0.1655 0.6660 0.4995
4 Dy 0.3325 0.3321 0.4997
5 Dy 0.3325 0.8328 0.0003
6 Dy 0.3335 0.3340 0.9995
7 Dy 0.6665 0.6660 0.0005
8 Dy 0.6675 0.1672 0.9997
9 Dy 0.6675 0.6679 0.5003
10 Dy 0.8345 0.3340 0.5005
11 Ho 0.0000 0.0000 0.5000
12 Ho 0.0000 0.5000 0.0000

Values from the calculation:
Energy relative to the lowest polymorph listed for this composition in meV/atom: 251
Fermi-level density of states in states/eV/f.u.: 14.58
Calculated formation energy in eV per atom: 0.28
E in eV for the cell shown: -54.5
Symmetry: Imma



Computed, not measured: a relaxed CsPmOsO6 crystal at the PBE level of DFT.

Lattice parameters (Å, degrees): 5.7921 5.7921 6.4685 90.00 90.00 120.00
Fractional positions:
1 Cs 0.0000 0.0000 0.0000
2 Pm 0.3333 0.6667 0.5000
3 Os 0.6667 0.3333 0.5000
4 O 0.4176 0.0568 0.6691
5 O 0.4176 0.3607 0.3309
6 O 0.6393 0.0568 0.3309
7 O 0.6393 0.5824 0.6691
8 O 0.9432 0.3607 0.6691
9 O 0.9432 0.5824 0.3309

Values from the calculation:
Energy relative to the elements, uncorrected in kJ/mol of formula units: -1523
E in eV for the cell shown: -62.4
Symmetry: P312



Computed, not measured: a relaxed RePt3S crystal at the PBE level of DFT.

Lattice parameters (Å, degrees): 4.4895 4.4895 4.4895 90.00 90.00 90.00
Fractional positions:
1 Re 0.0000 0.0000 0.0000
2 Pt 0.0000 0.5000 0.5000
3 Pt 0.5000 0.0000 0.5000
4 Pt 0.5000 0.5000 0.0000
5 S 0.5000 0.5000 0.5000

Values from the calculation:
Energy relative to the elements, uncorrected in kJ/mol of formula units: 474
Energy relative to the lowest polymorph listed for this composition in meV/atom: 0
Fermi-level density of states in states/eV/f.u.: 3.92
E in eV for the cell shown: -29.8
Symmetry: Pm-3m



Computed, not measured: a relaxed ZrP2Se crystal at the PBE level of DFT.

Lattice parameters (Å, degrees): 3.6785 3.4221 6.0178 90.00 104.15 90.00
Fractional positions:
1 Zr 0.0000 0.0000 0.0000
2 P 0.4160 0.5000 0.7962
3 P 0.5840 0.5000 0.2038
4 Se 0.0000 0.0000 0.5000

Values from the calculation:
Energy relative to the elements, uncorrected in kJ/mol of formula units: -177
Fermi-level density of states in states/eV/f.u.: 1.84
E in eV for the cell shown: -24.7
Symmetry: P2/m



Computed, not measured: a relaxed Sr3Mn crystal at the PBE level of DFT.

Lattice parameters (Å, degrees): 7.4490 7.4490 7.4490 147.86 130.04 60.65
Fractional positions:
1 Sr 0.0000 0.0000 0.0000
2 Sr 0.2990 0.7990 0.5000
3 Sr 0.7010 0.2010 0.5000
4 Mn 0.5000 0.5000 0.0000

Values from the calculation:
Fermi-level density of states in states/eV/f.u.: 5.25
Calculated formation energy in eV per atom: 0.37
E in eV for the cell shown: -12.7
Symmetry: Immm



Computed, not measured: a relaxed Ga2HgBr crystal at the PBE level of DFT.

Lattice parameters (Å, degrees): 7.8137 7.8137 7.8137 130.10 130.10 73.24
Fractional positions:
1 Ga 0.1036 0.6250 0.9786
2 Ga 0.3750 0.3536 0.4786
3 Ga 0.6464 0.1250 0.0214
4 Ga 0.8750 0.8964 0.5214
5 Hg 0.0000 0.0000 0.0000
6 Hg 0.7500 0.2500 0.5000
7 Br 0.2500 0.7500 0.5000
8 Br 0.5000 0.5000 0.0000

Values from the calculation:
Energy relative to the elements, uncorrected in kJ/mol of formula units: -7
Energy relative to the lowest polymorph listed for this composition in meV/atom: 108
Fermi-level density of states in states/eV/f.u.: 1.83
E in eV for the cell shown: -16.2
Symmetry: I-42d



Computed, not measured: a relaxed Ho2ErIn crystal at the PBE level of DFT.

Lattice parameters (Å, degrees): 4.8167 4.8167 4.8124 90.00 90.00 90.00
Fractional positions:
1 Ho 0.0000 0.5000 0.0000
2 Ho 0.5000 0.0000 0.0000
3 Er 0.0000 0.0000 0.5000
4 In 0.5000 0.5000 0.5000

Values from the calculation:
Energy relative to the lowest polymorph listed for this composition in meV/atom: 0
Fermi-level density of states in states/eV/f.u.: 5.44
Calculated formation energy in eV per atom: -0.26
E in eV for the cell shown: -17.5
Symmetry: P4/mmm